(1)
Material: ZrNbSi
Method: DFT, PBE
State: optimized geometry

```
18
Lattice="3.703 0.000 0.000 0.000 7.175 0.000 0.000 0.000 12.327" Properties=species:S:1:pos:R:3 pbc="T T T"
Zr 0.000 1.118 3.082
Nb 1.851 4.059 7.558
Si 1.851 0.422 5.008
Nb 1.851 1.402 9.245
Zr 0.000 6.057 9.245
Si 0.000 3.246 9.245
Zr 0.000 1.696 11.721
Si 0.000 3.930 3.082
Nb 1.851 5.774 3.082
Zr 0.000 5.479 5.557
Nb 1.851 4.059 10.933
Si 1.851 6.753 7.319
Zr 0.000 5.479 0.606
Nb 1.851 3.116 1.394
Si 1.851 6.753 11.172
Si 1.851 0.422 1.155
Zr 0.000 1.696 6.770
Nb 1.851 3.116 4.770
```

## Properties
**Total energy**: -8.68 eV/atom
**Formation energy (no corrections)**: -0.66 eV/atom
**Total magnetization**: 0.0000 μB per atom
**DOS at the Fermi energy**: 11.1 states/eV per cell


(2)
Material: ZrNb3Si
Method: DFT, PBE
State: optimized geometry

```
5
Lattice="-3.897 2.289 1.850 -2.940 -3.175 -2.263 0.142 -2.920 3.912" Properties=species:S:1:pos:R:3 pbc="T T T"
Si -3.347 -1.903 1.749
Nb -1.470 -1.588 -1.132
Nb 0.071 -1.460 1.956
Zr 0.000 0.000 0.000
Nb -1.948 1.145 0.925
```

## Properties
**Total energy**: -7.07 eV/atom
**Formation energy (no corrections)**: 1.77 eV/atom
**Energy above the lowest structure with this stoichiometry**: 1352 meV per atom
**Total magnetization**: 0.0000 μB per atom
**DOS at the Fermi energy**: 5.4 states/eV per cell


(3)
Material: ZrNbSi
Method: DFT, PBE
State: optimized geometry

```
12
Lattice="-1.635 0.372 -4.122 -2.274 -7.685 0.209 -5.272 2.027 4.676" Properties=species:S:1:pos:R:3 pbc="T T T"
Si -4.322 -3.254 -0.981
Zr -3.419 -5.717 -1.562
Nb -3.112 0.283 1.260
Zr -7.118 -2.850 0.164
Si -2.639 -0.328 -1.385
Zr -2.063 -2.436 0.599
Zr -5.762 0.432 2.324
Nb -5.023 -0.789 -0.481
Nb -6.069 -5.568 -0.497
Si -6.542 -4.957 2.148
Nb -4.158 -4.497 1.244
Si -4.859 -2.031 1.744
```

## Properties
**Total energy**: -8.18 eV/atom
**Formation energy (no corrections)**: -0.16 eV/atom
**Total magnetization**: 0.0000 μB per atom
**DOS at the Fermi energy**: 7.9 states/eV per cell


(4)
Material: Zr2Nb3Si4
Method: DFT, PBE
State: optimized geometry

```
18
Lattice="-0.800 -6.009 2.955 3.624 -0.800 -5.820 5.859 0.950 3.517" Properties=species:S:1:pos:R:3 pbc="T T T"
Si 3.036 -4.572 -3.353
Nb 3.546 -1.956 -2.988
Si 6.863 -0.352 0.492
Zr 1.639 -0.368 -0.315
Si 2.724 -4.700 3.968
Zr 2.164 -3.223 1.718
Nb 4.741 0.075 -1.151
Zr 6.519 -2.636 -1.065
Si 1.820 -5.507 0.161
Si 3.673 -2.267 -0.444
Si 5.959 -1.159 -3.315
Si 5.647 -1.287 4.006
Nb 4.006 -4.820 -0.994
Si 5.010 -3.592 1.097
Zr 7.044 -5.491 0.967
Nb 1.412 -3.404 -1.433
Nb 4.677 -1.038 1.646
Nb 5.137 -3.903 3.640
```

## Properties
**Total energy**: -8.54 eV/atom
**Formation energy (no corrections)**: -0.88 eV/atom
**Total magnetization**: 0.0000 μB per atom
**DOS at the Fermi energy**: 6.1 states/eV per cell


(5)
Material: ZrNbSi3
Method: DFT, PBE
State: optimized geometry

```
5
Lattice="4.892 0.000 0.000 0.000 4.892 0.000 0.000 0.000 4.892" Properties=species:S:1:pos:R:3 pbc="T T T"
Nb 2.446 2.446 2.446
Si 2.446 0.000 0.000
Zr 0.000 0.000 0.000
Si 0.000 0.000 2.446
Si 0.000 2.446 0.000
```

## Properties
**Total energy**: -5.78 eV/atom
**Formation energy (no corrections)**: 1.20 eV/atom
**Total magnetization**: 0.4936 μB per atom
**DOS at the Fermi energy**: 4.7 states/eV per cell


(6)
Material: ZrNb2Si
Method: DFT, PBE
State: optimized geometry

```
8
Lattice="7.709 0.000 0.000 0.000 7.709 0.000 3.855 3.855 2.635" Properties=species:S:1:pos:R:3 pbc="T T T"
Nb 2.315 5.782 0.659
Zr 0.000 0.000 0.000
Si 3.855 7.709 1.317
Nb 5.395 1.927 0.659
Zr 7.709 3.855 1.317
Nb 9.637 9.249 1.976
Nb 5.782 6.169 1.976
Si 3.855 3.855 0.000
```

## Properties
**Total energy**: -8.40 eV/atom
**Formation energy (no corrections)**: 0.13 eV/atom
**Total magnetization**: 0.0000 μB per atom
**DOS at the Fermi energy**: 2.3 states/eV per cell


(7)
Material: ZrNb2Si
Method: DFT, PBE
State: optimized geometry

```
8
Lattice="-1.505 -0.925 -3.129 1.112 -4.389 2.820 -7.403 0.345 3.458" Properties=species:S:1:pos:R:3 pbc="T T T"
Zr -2.277 -4.779 0.439
Si -6.117 -2.727 1.684
Nb -6.783 -3.119 4.183
Nb -1.012 -1.849 -1.034
Zr -5.519 -0.189 2.710
Nb -3.988 -1.710 0.356
Nb -3.807 -3.258 2.793
Si -1.679 -2.241 1.466
```

## Properties
**Total energy**: -9.02 eV/atom
**Formation energy (no corrections)**: -0.49 eV/atom
**Total magnetization**: 0.0000 μB per atom
**DOS at the Fermi energy**: 7.8 states/eV per cell


(8)
Material: SmNb2
Method: DFT, PBE
State: optimized geometry

```
6
Lattice="-5.322 -1.225 1.825 -1.073 -0.475 5.638 -3.121 4.025 2.686" Properties=species:S:1:pos:R:3 pbc="T T T"
Nb -4.387 -0.560 5.000
Nb -5.411 1.691 3.524
Sm 0.000 0.000 0.000
Sm -2.379 0.581 2.537
Nb -5.948 1.453 6.343
Nb -3.286 2.066 5.430
```

## Properties
**Total energy**: -8.06 eV/atom
**Total magnetization**: 0.0000 μB per atom
**DOS at the Fermi energy**: 9.1 states/eV per cell
**Formation energy**: 0.23 eV per atom


(9)
Material: Sm4Nb
Method: DFT, PBE
State: optimized geometry

```
5
Lattice="-0.045 5.311 1.709 0.952 -1.677 5.235 5.497 0.334 -0.893" Properties=species:S:1:pos:R:3 pbc="T T T"
Sm 2.726 2.822 0.408
Sm 3.225 -0.672 2.171
Sm 0.454 1.817 3.472
Nb 3.202 1.984 3.026
Sm 0.000 0.000 0.000
```

## Properties
**Total energy**: -5.31 eV/atom
**Total magnetization**: 0.0007 μB per atom
**DOS at the Fermi energy**: 8.9 states/eV per cell
**Formation energy**: 0.48 eV per atom


(10)
Material: SmNbSn2
Method: DFT, PBE
State: optimized geometry

```
4
Lattice="4.187 0.000 0.000 2.093 3.626 0.000 2.093 1.209 6.940" Properties=species:S:1:pos:R:3 pbc="T T T"
Sn 2.093 1.209 1.504
Nb 0.000 0.000 0.000
Sm 4.187 2.417 3.470
Sn 6.280 3.626 5.435
```

## Properties
**Total energy**: -5.89 eV/atom
**Total magnetization**: 0.0000 μB per atom
**DOS at the Fermi energy**: 1.4 states/eV per cell
**Formation energy**: -0.19 eV per atom


(11)
Material: Tb2SmNb
Method: DFT, PBE
State: optimized geometry

```
4
Lattice="3.320 0.000 0.000 1.660 2.875 0.000 1.660 0.958 11.714" Properties=species:S:1:pos:R:3 pbc="T T T"
Tb 4.979 2.875 2.892
Sm 3.320 1.917 5.857
Nb 0.000 0.000 0.000
Tb 1.660 0.958 8.822
```

## Properties
**Total energy**: -5.46 eV/atom
**Total magnetization**: 0.0467 μB per atom
**DOS at the Fermi energy**: 5.6 states/eV per cell
**Formation energy**: 0.55 eV per atom


(12)
Material: TbSm2Nb
Method: DFT, PBE
State: optimized geometry

```
4
Lattice="-0.561 0.685 3.221 -0.470 -2.488 2.179 11.177 -0.956 3.882" Properties=species:S:1:pos:R:3 pbc="T T T"
Sm 1.826 -1.891 5.917
Tb 5.073 -1.380 4.641
Nb 0.000 0.000 0.000
Sm 8.320 -0.868 3.365
```

## Properties
**Total energy**: -5.47 eV/atom
**Total magnetization**: 0.0012 μB per atom
**DOS at the Fermi energy**: 5.3 states/eV per cell
**Formation energy**: 0.56 eV per atom